# Na4SrHg4 (PBE-GGA, relaxed)
data_Na4SrHg4
_symmetry_space_group_name_H-M 'P 1'
_symmetry_Int_Tables_number 1
_cell_length_a 5.4361
_cell_length_b 10.0217
_cell_length_c 10.0217
_cell_angle_alpha 90.00
_cell_angle_beta 90.00
_cell_angle_gamma 90.00
loop_
_symmetry_equiv_pos_as_xyz
'x,y,z'
loop_
_atom_site_label
_atom_site_type_symbol
_atom_site_fract_x
_atom_site_fract_y
_atom_site_fract_z
_atom_site_occupancy
Na1 Na 0.4036 0.4031 0.8617 1
Na2 Na 0.9036 0.6383 0.9031 1
Na3 Na 0.4036 0.5969 0.1383 1
Na4 Na 0.0964 0.0969 0.6383 1
Na5 Na 0.5964 0.8617 0.5969 1
Na6 Na 0.0964 0.9031 0.3617 1
Na7 Na 0.9036 0.3617 0.0969 1
Na8 Na 0.5964 0.1383 0.4031 1
Sr1 Sr 0.0000 0.0000 0.0000 1
Sr2 Sr 0.5000 0.5000 0.5000 1
Hg1 Hg 0.5831 0.8804 0.2066 1
Hg2 Hg 0.5831 0.1196 0.7934 1
Hg3 Hg 0.0831 0.7066 0.6196 1
Hg4 Hg 0.9169 0.3804 0.7066 1
Hg5 Hg 0.9169 0.6196 0.2934 1
Hg6 Hg 0.4169 0.2066 0.1196 1
Hg7 Hg 0.4169 0.7934 0.8804 1
Hg8 Hg 0.0831 0.2934 0.3804 1
# Crystal system = tetragonal
# ΔH_f (0 K) = -0.200 eV per atom
# Magnetic moment = 0.00 μB per cell
# SG = P4_2/n, No. 86